PaNiAu2O6, relaxed, DFT GGA+U; VASP energy = -6.0753 eV/atom; magnetization = 0.59 μB/cell; DOS at the Fermi energy = 0.53 states/eV per atom
1.0
5.347 0.174 0.180
2.043 7.411 1.607
2.043 1.331 7.465
O Pa Au Ni
12 2 4 2
direct
0.936 0.653 0.555
0.064 0.347 0.445
0.436 0.555 0.653
0.628 0.155 0.686
0.872 0.314 0.845
0.655 0.832 0.996
0.345 0.168 0.004
0.372 0.845 0.314
0.564 0.445 0.347
0.155 0.996 0.832
0.845 0.004 0.168
0.128 0.686 0.155
0.250 0.334 0.666
0.750 0.666 0.334
0.209 0.258 0.226
0.791 0.742 0.774
0.709 0.226 0.258
0.291 0.774 0.742
0.250 0.917 0.083
0.750 0.083 0.917